A plane-wave DFT calculation with PBE-GGA was carried out for OsPbSe2 after structural relaxation.

Formation energy (no corrections), kJ/mol of atoms: 4.27
Crystal system: trigonal
Symmetry: R-3m
E, eV/cell: -21.730

Unit cell a=8.988 b=8.988 c=8.988 alpha=23.72 beta=23.72 gamma=23.72
Positions (direct):
1 Pb 0.000 0.000 0.000
2 Os 0.500 0.500 0.500
3 Se 0.883 0.883 0.883
4 Se 0.117 0.117 0.117